Crystalline SiRuF3 at its relaxed geometry. Source: the Alexandria database, functional PBE.

The value obtained for the calculated volume is 14.63 Å³ per atom. The calculation puts the magnetization at 0.00 μB/cell. Its mass density is 4.22 g cm⁻³. The uncorrected formation energy comes out at -0.456 eV per atom.

Cell lengths 4.183, 4.183, 4.183 Å; angles 90.00, 90.00, 90.00 degrees
Space group Pm-3m (No. 221)
One atom of each set of equivalent atoms:
1 Si 0.000 0.000 0.000 x1
2 Ru 0.500 0.500 0.500 x1
3 F 0.000 0.500 0.500 x3